DFT (PBE) results for a relaxed structure of CaCe2N.

Lattice parameters (Å, degrees): 10.119 10.119 10.119 19.97 19.97 19.97
Fractional positions:
Ca1 0.000 0.000 0.000
Ce1 0.120 0.120 0.120
Ce2 0.880 0.880 0.880
N1 0.500 0.500 0.500

- energy above the most stable polymorph in this dataset (meV per atom) = 0
- formation energy without anion corrections (eV/atom) = -0.566
- total energy (eV for the cell shown) = -24.5